1.
## Y2ErCr2C4 (PBE)

Data for a relaxed structure of Y2ErCr2C4.

POSCAR file:
```
Y2ErCr2C4
1.0
3.4077 0.0000 0.0000
-1.7038 6.5137 0.1348
0.0000 -2.1547 5.5549
Y C Cr Er
2 4 2 1
Direct
0.8654 0.7309 0.4579
0.1346 0.2691 0.5421
0.7848 0.5697 0.8122
0.2152 0.4303 0.1878
0.5428 0.0857 0.7544
0.4572 0.9143 0.2456
0.3206 0.6413 0.0112
0.6794 0.3587 0.9888
0.0000 0.0000 0.0000
```

Output
- Energy of formation: -140 meV per atom
- Crystal system: monoclinic
- Density: 6641 kg/m³
- Space-group type: C2/m

***

2.
## EuCrC2 (PBE)

Data for a relaxed structure of EuCrC2.

POSCAR file:
```
EuCrC2
1.0
3.1480 0.0000 0.0000
1.5740 2.7262 0.0000
1.5740 0.9087 5.5869
Cr Eu C
1 1 2
Direct
0.0000 0.0000 0.0000
0.5000 0.5000 0.5000
0.2714 0.2714 0.1857
0.7286 0.7286 0.8143
```

Output
- Energy of formation: 465 meV per atom
- Crystal system: trigonal
- Density: 7896 kg/m³
- Space-group type: R-3m